This record from OQMD describes an optimized crystal structure of BaMg6Ir. The functional is PBE.

a b c (Å): 9.5032 9.5032 8.1631
angles (deg): 90.00 90.00 120.00
Space group R-3 (No. 148, hexagonal axes)
Inequivalent atoms, fractional coordinates:
Ba: 0.0000 0.0000 0.0000
Mg: 0.0306 0.2495 0.6544
Ir: 0.0000 0.0000 0.5000

Results
- V (Å³/cell) = 638
- M_tot (μB per atom) = 0.0003
- uncorrected energy (eV/atom) = -2.491

=====

This record from OQMD describes an optimized crystal structure of Tl2Ag4S3. The functional is PBE.

a b c (Å): 7.766 12.694 4.530
angles (deg): 90.00 90.00 90.00
Space group Pmmn (No. 59, origin choice 2)
Inequivalent atoms, fractional coordinates:
Tl: 0.031 0.250 0.243
Ag: 0.000 0.000 0.500
Ag: 0.250 0.582 0.036
S: 0.250 0.074 0.737
S: 0.250 0.750 0.287

Results
- V (Å³/cell) = 447
- uncorrected energy (eV/atom) = -3.340

=====

This record from OQMD describes an optimized crystal structure of Pr2BC. The functional is PBE.

a b c (Å): 13.453 3.695 9.637
angles (deg): 90.00 131.47 90.00
Space group C2/m (No. 12)
Inequivalent atoms, fractional coordinates:
Pr: 0.059 0.000 0.360
Pr: 0.208 0.500 0.119
B: 0.074 0.500 0.607
C: 0.127 0.500 0.802

Results
- V (Å³/cell) = 359
- M_tot (μB per atom) = 0.0020
- uncorrected energy (eV/atom) = -6.641

=====

This record from OQMD describes an optimized crystal structure of TcGePO. The functional is PBE.

a b c (Å): 3.150 6.328 5.772
angles (deg): 90.00 90.00 90.00
Space group Pmc2_1 (No. 26)
Inequivalent atoms, fractional coordinates:
Tc: 0.000 0.016 0.000
Ge: 0.500 0.436 0.371
P: 0.500 0.176 0.749
O: 0.000 0.260 0.264

Results
- V (Å³/cell) = 115
- excess energy over the best structure of this formula in the dataset (eV per atom) = 0.076
- M_tot (μB per atom) = 0.0001
- uncorrected energy (eV/atom) = -6.741

=====

This record from OQMD describes an optimized crystal structure of Hf2CdSn. The functional is PBE.

a b c (Å): 7.096 7.096 7.096
angles (deg): 90.00 90.00 90.00
Space group F-43m (No. 216)
Inequivalent atoms, fractional coordinates:
Hf: 0.000 0.000 0.000
Hf: 0.250 0.250 0.250
Cd: 0.250 0.250 0.750
Sn: 0.000 0.000 0.500

Results
- V (Å³/cell) = 357
- M_tot (μB per atom) = 0.3689
- uncorrected energy (eV/atom) = -5.886

=====

This record from OQMD describes an optimized crystal structure of KTbB. The functional is PBE.

a b c (Å): 6.705 6.705 6.705
angles (deg): 90.00 90.00 90.00
Space group F-43m (No. 216)
Inequivalent atoms, fractional coordinates:
K: 0.000 0.000 0.000
Tb: 0.000 0.000 0.500
B: 0.250 0.250 0.250

Results
- V (Å³/cell) = 301
- excess energy over the best structure of this formula in the dataset (eV per atom) = 0.000
- M_tot (μB per atom) = 0.0041
- uncorrected energy (eV/atom) = -3.169

=====

This record from OQMD describes an optimized crystal structure of LaGa3Pt. The functional is PBE.

a b c (Å): 4.389 4.389 10.591
angles (deg): 90.00 90.00 90.00
Space group I4mm (No. 107)
Inequivalent atoms, fractional coordinates:
La: 0.000 0.000 0.000
Ga: 0.000 0.000 0.408
Ga: 0.000 0.500 0.258
Pt: 0.000 0.000 0.641

Results
- V (Å³/cell) = 204
- M_tot (μB per atom) = 0.0001
- uncorrected energy (eV/atom) = -4.850

=====

This record from OQMD describes an optimized crystal structure of SmFeCu. The functional is PBE.

a b c (Å): 6.438 6.438 6.438
angles (deg): 90.00 90.00 90.00
Space group F-43m (No. 216)
Inequivalent atoms, fractional coordinates:
Sm: 0.000 0.000 0.000
Fe: 0.250 0.250 0.250
Cu: 0.250 0.250 0.750

Results
- V (Å³/cell) = 267
- M_tot (μB per atom) = 0.7647
- calculated formation energy (eV per atom) = 0.93
- uncorrected energy (eV/atom) = -4.653

=====

Question: Number 8 is which compound?
Answer: SmFeCu

=====

Question: Number 3 is which compound?
Answer: Pr2BC

=====

Question: Among the records above, which one has the lowest V?
Answer: TcGePO

=====

Question: Among the records above, which one has the highest V?
Answer: BaMg6Ir